Here is a relaxed structure of Rb2VHO4 from Alexandria via LeMat-Bulk. Energies are from GGA+U.

Lattice parameters (Å, degrees): 4.2675 12.0660 20.7485 90.00 90.00 90.00
Closest atoms and distances in Å follow each position.
Space group Fddd (No. 70, origin choice 2)
Asymmetric unit:
Rb 0.1250 0.1250 0.2953 [16 per cell]  8 O 2.96-3.30
V 0.1250 0.1250 0.6250 [8 per cell]  4 O 1.74
H 0.1250 0.1250 0.1250 [8 per cell]  4 O 1.72
O 0.1210 0.2935 0.4207 [32 per cell]  1 H 1.72, 1 V 1.74

Values from the calculation:
DOS(E_F)	0.00	states/eV/f.u.
raw total energy	-5.585	eV/atom